La3GeIBr: relaxed, PBE.

**Space group**: P2_1/m, No. 11
**Uncorrected energy**: -58.31 eV for the cell shown

abc: 9.4235 4.3557 10.5266
angles: 90.00 90.94 90.00
With the nearest neighbours (Å) after each atom.
Sites, in units of the cell vectors:
La1 0.0908 0.2500 0.3522  3 Ge 3.03-3.04
La2 0.1494 0.2500 0.9184  1 Ge 2.95, 2 Br 3.02
La3 0.3512 0.7500 0.6294  2 Ge 2.99, 1 Br 3.05, 1 I 3.32
La4 0.6488 0.2500 0.3706  2 Ge 2.99, 1 Br 3.05, 1 I 3.32
La5 0.8506 0.7500 0.0816  1 Ge 2.95, 2 Br 3.02
La6 0.9092 0.7500 0.6478  3 Ge 3.03-3.04
Ge1 0.1341 0.2500 0.6383  6 La 2.95-3.04
Ge2 0.8659 0.7500 0.3617  6 La 2.95-3.04
I1 0.3696 0.7500 0.3151  5 La 3.32-3.46
I2 0.6304 0.2500 0.6849  5 La 3.32-3.46
Br1 0.3717 0.7500 0.9192  3 La 3.02-3.05
Br2 0.6283 0.2500 0.0808  3 La 3.02-3.05

=====

Y2ScAl: relaxed, PBE.

**E_form**: -47 meV per atom
**Space group**: R3m, No. 160

abc: 10.4993 10.4993 10.4993
angles: 19.04 19.04 19.04
With the nearest neighbours (Å) after each atom.
Sites, in units of the cell vectors:
Y1 0.0000 0.0000 0.0000  3 Sc 3.46, 9 Y 3.47-3.64
Y2 0.2351 0.2351 0.2351  3 Al 3.07
Sc1 0.7578 0.7578 0.7578  3 Al 2.92
Al1 0.4933 0.4933 0.4933  3 Sc 2.92, 3 Y 3.07

=====

TbPm4Pr7: relaxed, PBE.

**E_form**: 203 meV per atom
**Space group**: C2/m, No. 12
**ΔE to the lowest computed polymorph**: 192 meV/atom

abc: 8.7965 8.7965 9.4958
angles: 114.24 114.24 40.75
With the nearest neighbours (Å) after each atom.
Sites, in units of the cell vectors:
Tb1 0.0000 0.0000 0.0000  4 Pr 3.06-3.15
Pm1 0.3273 0.3273 0.6104  7 Pr 3.31-3.64
Pm2 0.4269 0.4269 0.3016  4 Pr 3.36-3.73, 1 Pm 3.47
Pm3 0.5731 0.5731 0.6984  4 Pr 3.36-3.73, 1 Pm 3.47
Pm4 0.6727 0.6727 0.3896  7 Pr 3.31-3.64
Pr1 0.0819 0.0819 0.4378  3 Pr 3.39-3.75, 3 Pm 3.53-3.64, 1 Tb 3.77
Pr2 0.2079 0.2079 0.2246  1 Tb 3.15, 2 Pm 3.31-3.36, 2 Pr 3.32-3.48
Pr3 0.2087 0.2087 0.8758  3 Pr 3.32-3.65
Pr4 0.5000 0.5000 0.0000  2 Tb 3.06
Pr5 0.7913 0.7913 0.1242  3 Pr 3.32-3.65
Pr6 0.7921 0.7921 0.7754  1 Tb 3.15, 2 Pm 3.31-3.36, 2 Pr 3.32-3.48
Pr7 0.9181 0.9181 0.5622  3 Pr 3.39-3.75, 3 Pm 3.53-3.64, 1 Tb 3.77

=====

NbIrBr2: relaxed, PBE.

**Space group**: R-3m, No. 166
**ΔE to the lowest computed polymorph**: 0 meV/atom

abc: 8.9393 8.9393 8.9393
angles: 20.65 20.65 20.65
With the nearest neighbours (Å) after each atom.
Sites, in units of the cell vectors:
Nb1 0.0000 0.0000 0.0000  6 Br 2.67
Ir1 0.5000 0.5000 0.5000  2 Br 2.45
Br1 0.4068 0.4068 0.4068  1 Ir 2.45, 3 Nb 2.67
Br2 0.5932 0.5932 0.5932  1 Ir 2.45, 3 Nb 2.67

=====

Sc6CuNi: relaxed, PBE.

**E_form**: -150 meV per atom
**Space group**: I4/mmm, No. 139

abc: 8.5218 8.5218 8.5218
angles: 148.75 148.75 44.78
With the nearest neighbours (Å) after each atom.
Sites, in units of the cell vectors:
Sc1 0.0990 0.5990 0.5000  2 Ni 2.78, 2 Cu 2.78
Sc2 0.2498 0.2498 0.0000  12 Sc 3.25-3.31
Sc3 0.4010 0.9010 0.5000  2 Cu 2.78, 2 Ni 2.78
Sc4 0.5990 0.0990 0.5000  2 Ni 2.78, 2 Cu 2.78
Sc5 0.7502 0.7502 0.0000  12 Sc 3.25-3.31
Sc6 0.9010 0.4010 0.5000  2 Cu 2.78, 2 Ni 2.78
Cu1 0.0000 0.0000 0.0000  8 Sc 2.78
Ni1 0.5000 0.5000 0.0000  8 Sc 2.78

=====

UPa2H: relaxed, PBE.

**Space group**: R-3m, No. 166
**Uncorrected energy**: -31.28 eV for the cell shown

abc: 7.6677 7.6677 7.6677
angles: 28.62 28.62 28.62
With the nearest neighbours (Å) after each atom.
Sites, in units of the cell vectors:
U1 0.0000 0.0000 0.0000  6 Pa 2.68
Pa1 0.4036 0.4036 0.4036  1 H 2.13
Pa2 0.5964 0.5964 0.5964  1 H 2.13
H1 0.5000 0.5000 0.5000  2 Pa 2.13

=====

Sm3Ho: relaxed, PBE.

**E_form**: 18 meV per atom
**Space group**: Pm-3m, No. 221
**ΔE to the lowest computed polymorph**: 3 meV/atom

abc: 5.0915 5.0915 5.0915
angles: 90.00 90.00 90.00
With the nearest neighbours (Å) after each atom.
Sites, in units of the cell vectors:
Sm1 0.0000 0.0000 0.5000  4 Ho 3.60, 8 Sm 3.60
Sm2 0.0000 0.5000 0.0000  4 Ho 3.60, 8 Sm 3.60
Sm3 0.5000 0.0000 0.0000  4 Ho 3.60, 8 Sm 3.60
Ho1 0.5000 0.5000 0.5000  12 Sm 3.60

=====

InMo2Cl: relaxed, PBE.

**Space group**: F-43m, No. 216
**ΔE to the lowest computed polymorph**: 711 meV/atom

abc: 4.6670 4.6670 4.6670
angles: 60.00 60.00 60.00
With the nearest neighbours (Å) after each atom.
Sites, in units of the cell vectors:
In1 0.0000 0.0000 0.0000  4 Cl 2.86, 4 Mo 2.86
Mo1 0.5000 0.5000 0.5000  4 Mo 2.86, 4 Cl 2.86
Mo2 0.7500 0.7500 0.7500  4 Mo 2.86, 4 In 2.86
Cl1 0.2500 0.2500 0.2500  4 Mo 2.86, 4 In 2.86

=====

YP4Pb: relaxed, PBE.

**E_form**: 69 meV per atom
**Space group**: F-43m, No. 216

abc: 5.4518 5.4518 5.4518
angles: 60.00 60.00 60.00
With the nearest neighbours (Å) after each atom.
Sites, in units of the cell vectors:
Y1 0.0000 0.0000 0.0000  12 P 3.18, 4 Pb 3.34
P1 0.1017 0.6328 0.6328  3 P 2.56
P2 0.6328 0.1017 0.6328  3 P 2.56
P3 0.6328 0.6328 0.1017  3 P 2.56
P4 0.6328 0.6328 0.6328  3 P 2.56
Pb1 0.2500 0.2500 0.2500  12 P 3.22, 4 Y 3.34

=====

SrSbBr: relaxed, PBE.

**Space group**: F-43m, No. 216
**ΔE to the lowest computed polymorph**: 903 meV/atom

abc: 5.3612 5.3612 5.3612
angles: 60.00 60.00 60.00
With the nearest neighbours (Å) after each atom.
Sites, in units of the cell vectors:
Sr1 0.0000 0.0000 0.0000  4 Br 3.28
Sb1 0.5000 0.5000 0.5000  4 Br 3.28
Br1 0.7500 0.7500 0.7500  4 Sb 3.28, 4 Sr 3.28

=====

AlZn2Re: relaxed, PBE.

**E_form**: 147 meV per atom
**Space group**: R-3m, No. 166

abc: 8.9083 8.9083 8.9083
angles: 18.16 18.16 18.16
With the nearest neighbours (Å) after each atom.
Sites, in units of the cell vectors:
Al1 0.0000 0.0000 0.0000  6 Zn 2.73, 6 Al 2.81
Zn1 0.2499 0.2499 0.2499  3 Re 2.72, 3 Al 2.73, 6 Zn 2.81
Zn2 0.7501 0.7501 0.7501  3 Re 2.72, 3 Al 2.73, 6 Zn 2.81
Re1 0.5000 0.5000 0.5000  6 Zn 2.72, 6 Re 2.81

=====

ScPtI2O: relaxed, PBE.

**Space group**: P4/mmm, No. 123
**ΔE to the lowest computed polymorph**: 460 meV/atom

abc: 5.6813 5.6813 3.8697
angles: 90.00 90.00 90.00
With the nearest neighbours (Å) after each atom.
Sites, in units of the cell vectors:
Sc1 0.0000 0.0000 0.0000  8 I 3.44
Pt1 0.5000 0.5000 0.5000  2 O 1.93
I1 0.0000 0.5000 0.5000  2 Pt 2.84
I2 0.5000 0.0000 0.5000  2 Pt 2.84
O1 0.5000 0.5000 0.0000  2 Pt 1.93

=====

BeFe2P: relaxed, PBE.

**E_form**: -172 meV per atom
**Space group**: P2/m, No. 10
**ΔE to the lowest computed polymorph**: 271 meV/atom

abc: 2.5857 3.3602 4.7431
angles: 90.00 100.33 90.00
With the nearest neighbours (Å) after each atom.
Sites, in units of the cell vectors:
Be1 0.0000 0.0000 0.0000  8 Fe 2.36-2.52, 2 P 2.37, 2 Be 2.59
Fe1 0.3569 0.5000 0.7414  2 P 2.15, 2 Be 2.36
Fe2 0.6431 0.5000 0.2586  2 P 2.15, 2 Be 2.36
P1 0.0000 0.0000 0.5000  4 Fe 2.15, 2 Be 2.37

=====

Ga2Rh2Pb: relaxed, PBE.

**E_form**: -283 meV per atom
**Space group**: P4/mbm, No. 127
**ΔE to the lowest computed polymorph**: 52 meV/atom

abc: 7.6187 7.6187 2.9591
angles: 90.00 90.00 90.00
With the nearest neighbours (Å) after each atom.
Sites, in units of the cell vectors:
Ga1 0.1324 0.3676 0.0000  6 Rh 2.65-2.72, 3 Ga 2.85-2.96
Ga2 0.3676 0.8676 0.0000  6 Rh 2.65-2.72, 3 Ga 2.85-2.96
Ga3 0.6324 0.1324 0.0000  6 Rh 2.65-2.72, 3 Ga 2.85-2.96
Ga4 0.8676 0.6324 0.0000  6 Rh 2.65-2.72, 3 Ga 2.85-2.96
Rh1 0.1555 0.6555 0.5000  6 Ga 2.65-2.72, 2 Rh 2.96
Rh2 0.3445 0.1555 0.5000  6 Ga 2.65-2.72, 2 Rh 2.96
Rh3 0.6555 0.8445 0.5000  6 Ga 2.65-2.72, 2 Rh 2.96
Rh4 0.8445 0.3445 0.5000  6 Ga 2.65-2.72, 2 Rh 2.96
Pb1 0.0000 0.0000 0.0000  2 Pb 2.96, 4 Ga 2.98, 8 Rh 3.24
Pb2 0.5000 0.5000 0.0000  2 Pb 2.96, 4 Ga 2.98, 8 Rh 3.24

=====

GaSn2N2: relaxed, PBE.

**Space group**: I4/mmm, No. 139
**ΔE to the lowest computed polymorph**: 77 meV/atom

abc: 6.0191 6.0191 6.0191
angles: 140.32 140.32 57.36
With the nearest neighbours (Å) after each atom.
Sites, in units of the cell vectors:
Ga1 0.0000 0.0000 0.0000  8 N 3.34, 10 Sn 3.37-3.55
Sn1 0.3362 0.3362 0.0000  4 N 2.24
Sn2 0.6638 0.6638 0.0000  4 N 2.24
N1 0.2500 0.7500 0.5000  4 Sn 2.24
N2 0.7500 0.2500 0.5000  4 Sn 2.24

=====

Pu4Bi2S: relaxed, PBE.

**Space group**: I4/mmm, No. 139
**Uncorrected energy**: -72.96 eV for the cell shown

abc: 9.0808 9.0808 9.0808
angles: 146.91 146.91 47.50
With the nearest neighbours (Å) after each atom.
Sites, in units of the cell vectors:
Pu1 0.0000 0.5000 0.5000  2 S 2.59
Pu2 0.1688 0.1688 0.0000  1 S 2.81
Pu3 0.5000 0.0000 0.5000  2 S 2.59
Pu4 0.8312 0.8312 0.0000  1 S 2.81
Bi1 0.3644 0.3644 0.0000  5 Pu 3.25-3.43
Bi2 0.6356 0.6356 0.0000  5 Pu 3.25-3.43
S1 0.0000 0.0000 0.0000  6 Pu 2.59-2.81

=====

La7Te4As4: relaxed, PBE.

**Space group**: I4/mmm, No. 139
**Uncorrected energy**: -174.75 eV for the cell shown

abc: 11.7408 11.7408 11.7408
angles: 96.30 96.30 141.31
With the nearest neighbours (Å) after each atom.
Sites, in units of the cell vectors:
La1 0.0000 0.2818 0.2818  2 Te 3.14, 4 As 3.21
La2 0.0000 0.7182 0.7182  2 Te 3.14, 4 As 3.21
La3 0.1335 0.5000 0.6335  4 As 3.00, 1 Te 3.09
La4 0.2447 0.2447 0.0000  8 Te 3.31-3.39
La5 0.2818 0.0000 0.2818  2 Te 3.14, 4 As 3.21
La6 0.2891 0.2891 0.5781  4 As 3.14, 2 Te 3.37
La7 0.2891 0.7109 0.0000  4 As 3.14, 2 Te 3.37
La8 0.5000 0.1335 0.6335  4 As 3.00, 1 Te 3.09
La9 0.5000 0.8665 0.3665  4 As 3.00, 1 Te 3.09
La10 0.7109 0.2891 0.0000  4 As 3.14, 2 Te 3.37
La11 0.7109 0.7109 0.4219  4 As 3.14, 2 Te 3.37
La12 0.7182 0.0000 0.7182  2 Te 3.14, 4 As 3.21
La13 0.7553 0.7553 0.0000  8 Te 3.31-3.39
La14 0.8665 0.5000 0.3665  4 As 3.00, 1 Te 3.09
Te1 0.1265 0.1265 0.2531  4 La 3.14-3.39
Te2 0.1265 0.8735 0.0000  4 La 3.14-3.39
Te3 0.3309 0.5000 0.8309  5 La 3.09-3.37
Te4 0.5000 0.3309 0.8309  5 La 3.09-3.37
Te5 0.5000 0.6691 0.1691  5 La 3.09-3.37
Te6 0.6691 0.5000 0.1691  5 La 3.09-3.37
Te7 0.8735 0.1265 0.0000  4 La 3.14-3.39
Te8 0.8735 0.8735 0.7469  4 La 3.14-3.39
As1 0.1044 0.6044 0.2088  6 La 3.00-3.21
As2 0.1044 0.8956 0.5000  6 La 3.00-3.21
As3 0.3956 0.6044 0.5000  6 La 3.00-3.21
As4 0.3956 0.8956 0.7912  6 La 3.00-3.21
As5 0.6044 0.1044 0.2088  6 La 3.00-3.21
As6 0.6044 0.3956 0.5000  6 La 3.00-3.21
As7 0.8956 0.1044 0.5000  6 La 3.00-3.21
As8 0.8956 0.3956 0.7912  6 La 3.00-3.21

=====

La3Pm2Tl2: relaxed, PBE.

**E_form**: -206 meV per atom
**Space group**: C2/m, No. 12
**ΔE to the lowest computed polymorph**: 0 meV/atom

abc: 5.9441 5.9441 8.4698
angles: 101.95 101.95 51.03
With the nearest neighbours (Å) after each atom.
Sites, in units of the cell vectors:
La1 0.0000 0.0000 0.0000  6 Tl 3.44-3.61, 4 Pm 3.62
La2 0.1524 0.1524 0.4642  3 La 3.28-3.46, 1 Tl 3.30, 4 Pm 3.65
La3 0.8476 0.8476 0.5358  3 La 3.28-3.46, 1 Tl 3.30, 4 Pm 3.65
Pm1 0.4267 0.4267 0.2676  4 Tl 3.42-3.47, 7 La 3.62-3.70
Pm2 0.5733 0.5733 0.7324  4 Tl 3.42-3.47, 7 La 3.62-3.70
Tl1 0.2910 0.2910 0.8546  4 La 3.30-3.61, 4 Pm 3.42-3.47
Tl2 0.7090 0.7090 0.1454  4 La 3.30-3.61, 4 Pm 3.42-3.47

=====

Rb3La2SmO6: relaxed, PBE.

**Space group**: C2/m, No. 12
**Uncorrected energy**: -78.56 eV for the cell shown

abc: 6.4185 6.4185 6.9350
angles: 98.86 98.86 120.01
With the nearest neighbours (Å) after each atom.
Sites, in units of the cell vectors:
Rb1 0.0000 0.0000 0.0000  6 O 2.99-3.04
Rb2 0.3346 0.6654 0.0000  6 O 2.98-3.05
Rb3 0.6654 0.3346 0.0000  6 O 2.98-3.05
La1 0.1667 0.8333 0.5000  6 O 2.47
La2 0.8333 0.1667 0.5000  6 O 2.47
Sm1 0.5000 0.5000 0.5000  6 O 2.41
O1 0.1139 0.4400 0.3198  1 Sm 2.41, 2 La 2.47
O2 0.2339 0.2339 0.6800  1 Sm 2.41, 2 La 2.47
O3 0.4400 0.1139 0.3198  1 Sm 2.41, 2 La 2.47
O4 0.5600 0.8861 0.6802  1 Sm 2.41, 2 La 2.47
O5 0.7661 0.7661 0.3200  1 Sm 2.41, 2 La 2.47
O6 0.8861 0.5600 0.6802  1 Sm 2.41, 2 La 2.47

=====

Rb4PrSm3Se8: relaxed, PBE.

**Space group**: R-3m, No. 166
**Uncorrected energy**: -78.46 eV for the cell shown

abc: 9.4630 9.4630 9.4630
angles: 54.71 54.71 54.71
With the nearest neighbours (Å) after each atom.
Sites, in units of the cell vectors:
Rb1 0.0000 0.0000 0.0000  6 Se 3.45
Rb2 0.0000 0.5000 0.5000  6 Se 3.49
Rb3 0.5000 0.0000 0.5000  6 Se 3.49
Rb4 0.5000 0.5000 0.0000  6 Se 3.49
Pr1 0.5000 0.5000 0.5000  6 Se 3.01
Sm1 0.0000 0.0000 0.5000  6 Se 2.97
Sm2 0.0000 0.5000 0.0000  6 Se 2.97
Sm3 0.5000 0.0000 0.0000  6 Se 2.97
Se1 0.2293 0.7354 0.7354  2 Sm 2.97, 1 Pr 3.01
Se2 0.2328 0.2328 0.2328  3 Sm 2.97
Se3 0.2646 0.2646 0.7707  2 Sm 2.97, 1 Pr 3.01
Se4 0.2646 0.7707 0.2646  2 Sm 2.97, 1 Pr 3.01
Se5 0.7354 0.2293 0.7354  2 Sm 2.97, 1 Pr 3.01
Se6 0.7354 0.7354 0.2293  2 Sm 2.97, 1 Pr 3.01
Se7 0.7672 0.7672 0.7672  3 Sm 2.97
Se8 0.7707 0.2646 0.2646  2 Sm 2.97, 1 Pr 3.01

=====

Ac2Pm3Tm6: relaxed, PBE.

**E_form**: 193 meV per atom
**Space group**: C2/m, No. 12

abc: 6.2091 6.2091 11.9116
angles: 95.00 95.00 120.05
With the nearest neighbours (Å) after each atom.
Sites, in units of the cell vectors:
Ac1 0.1667 0.8333 0.0000  3 Ac 3.58-3.59, 6 Tm 3.67
Ac2 0.8333 0.1667 0.0000  3 Ac 3.58-3.59, 6 Tm 3.67
Pm1 0.0000 0.0000 0.5000  6 Tm 3.51-3.52, 6 Pm 3.57-3.61
Pm2 0.3352 0.6648 0.5000  6 Tm 3.50-3.53, 6 Pm 3.55-3.61
Pm3 0.6648 0.3352 0.5000  6 Tm 3.50-3.53, 6 Pm 3.55-3.61
Tm1 0.0818 0.4139 0.7420  3 Pm 3.51-3.53, 6 Tm 3.57-3.59, 2 Ac 3.67
Tm2 0.2539 0.2539 0.2582  3 Pm 3.50-3.52, 6 Tm 3.57-3.59, 2 Ac 3.67
Tm3 0.4139 0.0818 0.7420  3 Pm 3.51-3.53, 6 Tm 3.57-3.59, 2 Ac 3.67
Tm4 0.5861 0.9182 0.2580  3 Pm 3.51-3.53, 6 Tm 3.57-3.59, 2 Ac 3.67
Tm5 0.7461 0.7461 0.7418  3 Pm 3.50-3.52, 6 Tm 3.57-3.59, 2 Ac 3.67
Tm6 0.9182 0.5861 0.2580  3 Pm 3.51-3.53, 6 Tm 3.57-3.59, 2 Ac 3.67

=====

LiMg2Ga9: relaxed, PBE.

**E_form**: -122 meV per atom
**Space group**: P4/mmm, No. 123

abc: 4.2285 4.2285 12.1895
angles: 90.00 90.00 90.00
With the nearest neighbours (Å) after each atom.
Sites, in units of the cell vectors:
Li1 0.0000 0.0000 0.0000  12 Ga 2.87-2.99
Mg1 0.0000 0.0000 0.3276  12 Ga 2.95-2.99
Mg2 0.0000 0.0000 0.6724  12 Ga 2.95-2.99
Ga1 0.0000 0.5000 0.1592  2 Li 2.87, 8 Ga 2.87-2.99, 2 Mg 2.95
Ga2 0.0000 0.5000 0.5000  8 Ga 2.96-2.99, 4 Mg 2.98
Ga3 0.0000 0.5000 0.8408  2 Li 2.87, 8 Ga 2.87-2.99, 2 Mg 2.95
Ga4 0.5000 0.0000 0.1592  2 Li 2.87, 8 Ga 2.87-2.99, 2 Mg 2.95
Ga5 0.5000 0.0000 0.5000  8 Ga 2.96-2.99, 4 Mg 2.98
Ga6 0.5000 0.0000 0.8408  2 Li 2.87, 8 Ga 2.87-2.99, 2 Mg 2.95
Ga7 0.5000 0.5000 0.0000  8 Ga 2.87, 4 Li 2.99
Ga8 0.5000 0.5000 0.3305  8 Ga 2.96-2.97, 4 Mg 2.99
Ga9 0.5000 0.5000 0.6695  8 Ga 2.96-2.97, 4 Mg 2.99

=====

Rb2Bi2Se3: relaxed, PBE.

**Space group**: C2/m, No. 12
**Uncorrected energy**: -24.84 eV for the cell shown

abc: 6.5448 6.5448 7.3022
angles: 97.36 97.36 51.94
With the nearest neighbours (Å) after each atom.
Sites, in units of the cell vectors:
Rb1 0.1298 0.1298 0.3502  5 Se 3.50-3.76, 1 Bi 3.69
Rb2 0.8702 0.8702 0.6498  5 Se 3.50-3.76, 1 Bi 3.69
Bi1 0.3877 0.3877 0.1170  4 Se 2.92-2.97
Bi2 0.6123 0.6123 0.8830  4 Se 2.92-2.97
Se1 0.1721 0.1721 0.8492  3 Bi 2.97
Se2 0.5000 0.5000 0.5000  2 Bi 2.92
Se3 0.8279 0.8279 0.1508  3 Bi 2.97

=====

TlPd4Se: relaxed, PBE.

**Space group**: P-1, No. 2
**Uncorrected energy**: -54.64 eV for the cell shown

abc: 5.5149 5.5435 7.7176
angles: 82.10 69.08 89.98
With the nearest neighbours (Å) after each atom.
Sites, in units of the cell vectors:
Tl1 0.1295 0.2501 0.4995  8 Pd 2.81-3.05, 2 Tl 3.12
Tl2 0.8705 0.7499 0.5005  8 Pd 2.81-3.05, 2 Tl 3.12
Pd1 0.0420 0.0822 0.1662  2 Se 2.47-2.54
Pd2 0.2921 0.5826 0.1658  2 Se 2.46-2.54
Pd3 0.3284 0.5778 0.6719  1 Se 2.51
Pd4 0.4995 0.0785 0.6717  1 Se 2.51
Pd5 0.5005 0.9215 0.3283  1 Se 2.51
Pd6 0.6716 0.4222 0.3281  1 Se 2.51
Pd7 0.7079 0.4174 0.8342  2 Se 2.46-2.54
Pd8 0.9580 0.9178 0.8338  2 Se 2.47-2.54
Se1 0.0000 0.5000 0.0000  6 Pd 2.46-2.54
Se2 0.5000 0.0000 0.0000  6 Pd 2.47-2.54